#P
The following is a DFT calculation (PBE-GGA) of a geometry-optimized Tb3PrEr3 structure.

Properties
* crystal system: trigonal
* space-group type: R-3, No. 148

POSCAR file:
```
Tb3PrEr3
1.0
-8.584 1.077 -1.621
-6.106 -2.497 5.826
-4.788 5.910 4.429
Tb Pr Er
6 2 6
direct
0.712 0.173 0.936
0.173 0.936 0.712
0.936 0.712 0.173
0.064 0.288 0.827
0.827 0.064 0.288
0.288 0.827 0.064
0.351 0.351 0.351
0.649 0.649 0.649
0.730 0.572 0.061
0.061 0.730 0.572
0.572 0.061 0.730
0.428 0.939 0.270
0.939 0.270 0.428
0.270 0.428 0.939
```

#Q
The following is a DFT calculation (PBE-GGA) of a geometry-optimized Tb3PrEr3 structure.

Properties
* crystal system: trigonal
* space-group type: R3m, No. 160

POSCAR file:
```
Tb3PrEr3
1.0
6.310 0.027 0.037
-1.415 6.149 0.037
-1.415 -1.785 5.884
Tb Pr Er
3 1 3
direct
0.521 0.521 0.165
0.521 0.165 0.521
0.165 0.521 0.521
0.107 0.107 0.107
0.561 0.962 0.962
0.962 0.962 0.561
0.962 0.561 0.962
```

#P is preferred energetically. Next in line: 0.014 eV/atom higher.

#P
The following is a DFT calculation (PBE-GGA) of a geometry-optimized Tb6PrEr4 structure.

Properties
* crystal system: orthorhombic
* space-group type: Cmcm, No. 63

POSCAR file:
```
Tb6PrEr4
1.0
-2.393 4.857 -1.875
-3.156 -4.154 2.025
1.908 10.026 23.534
Tb Pr Er
12 2 8
direct
0.500 0.000 0.000
0.500 0.000 0.500
0.134 0.268 0.320
0.866 0.732 0.680
0.866 0.732 0.820
0.134 0.268 0.180
0.804 0.607 0.399
0.196 0.393 0.601
0.196 0.393 0.899
0.804 0.607 0.101
0.468 0.937 0.250
0.532 0.063 0.750
0.803 0.607 0.250
0.197 0.393 0.750
0.846 0.692 0.542
0.463 0.926 0.122
0.154 0.308 0.458
0.537 0.074 0.878
0.846 0.692 0.958
0.154 0.308 0.042
0.537 0.074 0.622
0.463 0.926 0.378
```

#Q
The following is a DFT calculation (PBE-GGA) of a geometry-optimized Tb6PrEr4 structure.

Properties
* crystal system: hexagonal
* space-group type: P-6m2, No. 187

POSCAR file:
```
Tb6PrEr4
1.0
5.255 0.000 0.000
0.000 9.090 0.000
0.000 -4.545 7.872
Tb Pr Er
6 1 4
direct
0.000 0.535 0.069
0.500 0.588 0.794
0.000 0.535 0.465
0.000 0.931 0.465
0.500 0.206 0.794
0.500 0.206 0.412
0.000 0.000 0.000
0.500 0.795 0.591
0.500 0.409 0.205
0.500 0.795 0.205
0.000 0.333 0.667
```

#P is preferred energetically. Next in line: 0.217 eV/atom higher.